Density functional theory data (PBE) for In2Sn2Te after structural relaxation.

## Properties
DFT total energy (eV/atom): -3.259
Size of the total moment (μB/atom): 0.0000
E above lowest polymorph (meV/atom): 36

a b c (Å): 4.3140 4.3140 15.9517
angles (deg): 90.00 90.00 90.00
Space group I4/mmm (No. 139)
Inequivalent atoms, fractional coordinates:
In  0.0000  0.5000  0.2500
Sn  0.0000  0.0000  0.0937
Te  0.0000  0.0000  0.5000

Density functional theory data (PBE) for Ca2MnPCl after structural relaxation.

## Properties
DFT total energy (eV/atom): -3.970
Size of the total moment (μB/atom): 0.9132

a b c (Å): 5.2756 5.2756 4.9327
angles (deg): 90.00 90.00 90.00
Space group P4/mmm (No. 123)
Inequivalent atoms, fractional coordinates:
Ca  0.0000  0.5000  0.0000
Mn  0.0000  0.0000  0.5000
P  0.5000  0.5000  0.5000
Cl  0.5000  0.5000  0.0000

The highest size of the total moment belongs to which entry?
Ca2MnPCl

Which value of size of the total moment does entry 2 give?
0.9132 μB/atom

Among the records above, which one has the highest DFT total energy?
In2Sn2Te